VASP calculation (GGA-PBE) on a geometry-optimized Ce2Ga3Ag structure.

Values from the calculation:
* energy relative to the elements: -0.47 eV/atom
* energy: -4.441 eV per atom
* magnetic moment: 1.8 μB per formula unit

abc: 5.8706 5.8706 8.7230
angles: 105.51 105.51 101.85
Last column: magnetic moment on the atom in μB.
Positions (direct):
Ce: 0.7500 0.2500 0.5000  0.77
Ce: 0.7413 0.7413 0.0000  0.68
Ga: 0.6727 0.1625 0.8352  0.00
Ga: 0.8366 0.8366 0.6732  0.00
Ga: 0.1625 0.6727 0.8352  0.00
Ga: 0.8375 0.3273 0.1648  0.00
Ga: 0.1634 0.1634 0.3268  0.00
Ag: 0.6679 0.6679 0.3357  0.02
Ag: 0.3321 0.3321 0.6643  0.02
Ce: 0.2587 0.2587 0.0000  0.68
Ce: 0.2500 0.7500 0.5000  0.77
Ga: 0.3273 0.8375 0.1648  0.00